# 1
A plane-wave DFT calculation with GGA-PBE was carried out for an optimized crystal structure of Rb2MgBr3Cl.

The structure belongs to space group Immm (No. 71); the cell edges are 5.093, 5.389 and 17.265 Å and the angles 90.00°, 90.00° and 90.00°. Symmetry generates all atoms from Rb at (0.000, 0.000, 0.141), Mg at (0.000, 0.000, 0.500), Br at (0.000, 0.000, 0.344), Br at (0.000, 0.500, 0.500) and Cl at (0.000, 0.500, 0.000).

The calculation puts the energy relative to the elements, uncorrected at -1.716 eV per atom.

---

# 2
A plane-wave DFT calculation with GGA-PBE was carried out for an optimized crystal structure of PmNi2Sn.

The structure belongs to space group R-3m (No. 166, hexagonal axes); the cell edges are 4.4124, 4.4124 and 13.6722 Å and the angles 90.00°, 90.00° and 120.00°. Symmetry generates all atoms from Pm at (0.0000, 0.0000, 0.0000), Ni at (0.0000, 0.0000, 0.2052) and Sn at (0.0000, 0.0000, 0.5000).

For the formation energy, the calculation gives -0.4563 eV per atom.

---

# 3
A plane-wave DFT calculation with GGA-PBE was carried out for an optimized crystal structure of BaLaHo2.

The structure belongs to space group P4/mmm (No. 123); the cell edges are 3.766, 3.766 and 10.741 Å and the angles 90.00°, 90.00° and 90.00°. Symmetry generates all atoms from Ba at (0.000, 0.000, 0.000), La at (0.000, 0.000, 0.500) and Ho at (0.500, 0.500, 0.278).

For the formation energy, the calculation gives 0.1654 eV per atom.

---

# 4
A plane-wave DFT calculation with GGA-PBE was carried out for an optimized crystal structure of TaIn2W.

The structure belongs to space group Fm-3m (No. 225); the cell edges are 6.707, 6.707 and 6.707 Å and the angles 90.00°, 90.00° and 90.00°. Symmetry generates all atoms from Ta at (0.000, 0.000, 0.000), In at (0.250, 0.250, 0.250) and W at (0.000, 0.000, 0.500).

For the formation energy, the calculation gives 0.7284 eV per atom.

---

# 5
A plane-wave DFT calculation with GGA-PBE was carried out for an optimized crystal structure of CsZnCdAs.

The structure belongs to space group P4/nmm (No. 129, origin choice 2); the cell edges are 4.225, 4.225 and 14.819 Å and the angles 90.00°, 90.00° and 90.00°. Symmetry generates all atoms from Cs at (0.250, 0.250, 0.236), Zn at (0.250, 0.750, 0.000), Cd at (0.250, 0.750, 0.500) and As at (0.250, 0.250, 0.898).

For the formation energy, the calculation gives -0.2613 eV per atom.

---

# 6
A plane-wave DFT calculation with GGA-PBE was carried out for an optimized crystal structure of CsCdRe.

The structure belongs to space group P1 (No. 1); the cell edges are 3.809, 5.367 and 12.783 Å and the angles 79.33°, 89.12° and 69.23°. Symmetry generates all atoms from Cs at (0.000, 0.000, 0.000), Cs at (0.382, 0.300, 0.385), Cd at (0.124, 0.794, 0.592), Cd at (0.663, 0.696, 0.793), Re at (0.380, 0.266, 0.748) and Re at (0.859, 0.320, 0.637).

For the formation energy, the calculation gives 0.6039 eV per atom.

---

# 7
A plane-wave DFT calculation with GGA-PBE was carried out for an optimized crystal structure of NaCoOs2C.

The structure belongs to space group P4/mmm (No. 123); the cell edges are 3.971, 3.971 and 4.420 Å and the angles 90.00°, 90.00° and 90.00°. Symmetry generates all atoms from Na at (0.000, 0.000, 0.000), Co at (0.500, 0.500, 0.000), Os at (0.000, 0.500, 0.500) and C at (0.000, 0.000, 0.500).

For the formation energy, the calculation gives 0.8419 eV per atom.

---

# 8
A plane-wave DFT calculation with GGA-PBE was carried out for an optimized crystal structure of LaPr2Ge.

The structure belongs to space group Pnma (No. 62); the cell edges are 8.018, 9.629 and 6.553 Å and the angles 90.00°, 90.00° and 90.00°. Symmetry generates all atoms from La at (0.030, 0.250, 0.131), Pr at (0.190, 0.052, 0.623) and Ge at (0.116, 0.750, 0.416).

For the formation energy, the calculation gives -0.4459 eV per atom.

---

# 9
A plane-wave DFT calculation with GGA-PBE was carried out for an optimized crystal structure of CuReSe4.

The structure belongs to space group F-43m (No. 216); the cell edges are 7.900, 7.900 and 7.900 Å and the angles 90.00°, 90.00° and 90.00°. Symmetry generates all atoms from Cu at (0.000, 0.000, 0.000), Re at (0.250, 0.250, 0.750) and Se at (0.125, 0.125, 0.375).

The calculation puts the energy relative to the elements, uncorrected at 1.408 eV per atom.

---

# 10
A plane-wave DFT calculation with GGA-PBE was carried out for an optimized crystal structure of CaH12Cl2O6.

The structure belongs to space group P321 (No. 150); the cell edges are 7.9027, 7.9027 and 4.0129 Å and the angles 90.00°, 90.00° and 120.00°. Symmetry generates all atoms from Ca at (0.0000, 0.0000, 0.0000), H at (0.1002, 0.6661, 0.0988), H at (0.1137, 0.3474, 0.5179), Cl at (0.3333, 0.6667, 0.3958), O at (0.0000, 0.2143, 0.5000) and O at (0.0000, 0.6904, 0.0000).

The calculation puts the total energy at -101.8 eV for the cell shown.

---

# 11
A plane-wave DFT calculation with GGA-PBE was carried out for an optimized crystal structure of Tb4PmDyTm2.

The structure belongs to space group C2/m (No. 12); the cell edges are 12.301, 7.100 and 12.288 Å and the angles 90.00°, 109.48° and 90.00°. Symmetry generates all atoms from Tb at (0.000, 0.250, 0.249), Tb at (0.249, 0.000, 0.249), Tb at (0.250, 0.000, 0.750), Pm at (0.000, 0.500, 0.000), Pm at (0.000, 0.500, 0.500), Dy at (0.250, 0.250, 0.500), Tm at (0.000, 0.000, 0.000), Tm at (0.000, 0.000, 0.500) and Tm at (0.250, 0.250, 0.000).

For the formation energy, the calculation gives 0.0159 eV per atom.

---

# 12
A plane-wave DFT calculation with GGA-PBE was carried out for an optimized crystal structure of Ac2Cd2BPt4.

The structure belongs to space group I4/mmm (No. 139); the cell edges are 6.888, 6.888 and 8.145 Å and the angles 90.00°, 90.00° and 90.00°. Symmetry generates all atoms from Ac at (0.000, 0.500, 0.250), Cd at (0.000, 0.000, 0.171), B at (0.000, 0.000, 0.500) and Pt at (0.219, 0.219, 0.500).

For the formation energy, the calculation gives -0.6255 eV per atom.